Record 1
# DyTm2PuSb4 (GGA-PBE, relaxed)
# D(E_F) (states/eV/cell): 16.18
# Density (g cm⁻³): 8.6
# Electronic total energy (eV per atom): -6.504
data_DyTm2PuSb4
_cell_length_a 7.563
_cell_length_b 4.379
_cell_length_c 7.571
_cell_angle_alpha 90.00
_cell_angle_beta 109.47
_cell_angle_gamma 90.00
_symmetry_space_group_name_H-M 'P 1 2/m 1'
_symmetry_Int_Tables_number 10
loop_
_symmetry_equiv_pos_as_xyz
'x,y,z'
'-x,-y,-z'
'-x,y,-z'
'x,-y,z'
loop_
_atom_site_label
_atom_site_fract_x
_atom_site_fract_y
_atom_site_fract_z
Dy1 0.000 0.000 0.000
Tm1 0.500 0.000 0.500
Tm2 0.500 0.500 0.000
Pu1 0.000 0.500 0.500
Sb1 0.254 0.500 0.251
Sb2 0.255 0.000 0.752

=====

Record 2
# Dy2PuUSb4 (GGA-PBE, relaxed)
# D(E_F) (states/eV/cell): 17.56
# Density (g cm⁻³): 9.0
# Electronic total energy (eV per atom): -7.179
data_Dy2PuUSb4
_cell_length_a 7.572
_cell_length_b 4.376
_cell_length_c 7.667
_cell_angle_alpha 90.00
_cell_angle_beta 109.21
_cell_angle_gamma 90.00
_symmetry_space_group_name_H-M 'P 1 2/m 1'
_symmetry_Int_Tables_number 10
loop_
_symmetry_equiv_pos_as_xyz
'x,y,z'
'-x,-y,-z'
'-x,y,-z'
'x,-y,z'
loop_
_atom_site_label
_atom_site_fract_x
_atom_site_fract_y
_atom_site_fract_z
Dy1 0.000 0.000 0.000
Dy2 0.500 0.500 0.000
Pu1 0.000 0.500 0.500
U1 0.500 0.000 0.500
Sb1 0.251 0.500 0.249
Sb2 0.252 0.000 0.751